Model i:
# TbY8Ho2 | Alexandria | PBE | optimized geometry
# * SG: C2/m
# * M_tot: 0.00 μB per atom
# * calculated density: 5.55 g cm⁻³
data_TbY8Ho2
_chemical_formula_sum 'Tb1 Y8 Ho2'
_space_group_name_H-M_alt 'P 1'
_space_group_IT_number 1
_space_group_name_Hall 'P 1'
_cell_length_a 5.885
_cell_length_b 9.035
_cell_length_c 9.285
_cell_angle_alpha 60.89
_cell_angle_beta 74.33
_cell_angle_gamma 56.28
loop_
_atom_site_label
_atom_site_type_symbol
_atom_site_fract_x
_atom_site_fract_y
_atom_site_fract_z
Y1 Y 0.500 0.206 0.588
Y2 Y 0.707 0.571 0.000
Ho1 Ho 0.000 0.692 0.616
Y3 Y 0.178 0.664 0.238
Ho2 Ho 0.000 0.308 0.384
Tb1 Tb 0.500 0.000 0.000
Y4 Y 0.293 0.429 0.000
Y5 Y 0.500 0.794 0.412
Y6 Y 0.822 0.099 0.238
Y7 Y 0.178 0.901 0.762
Y8 Y 0.822 0.336 0.762



Model ii:
# TbY8Ho2 | Alexandria | PBE | optimized geometry
# * SG: C2/m
# * M_tot: 0.00 μB per atom
# * calculated density: 5.06 g cm⁻³
data_TbY8Ho2
_chemical_formula_sum 'Tb1 Y8 Ho2'
_space_group_name_H-M_alt 'P 1'
_space_group_IT_number 1
_space_group_name_Hall 'P 1'
_cell_length_a 8.363
_cell_length_b 5.795
_cell_length_c 8.363
_cell_angle_alpha 80.52
_cell_angle_beta 93.28
_cell_angle_gamma 99.48
loop_
_atom_site_label
_atom_site_type_symbol
_atom_site_fract_x
_atom_site_fract_y
_atom_site_fract_z
Y1 Y 0.853 0.795 0.646
Y2 Y 0.147 0.205 0.354
Y3 Y 0.646 0.205 0.853
Tb1 Tb 0.000 0.000 0.000
Y4 Y 0.729 0.905 0.271
Ho1 Ho 0.137 0.519 0.863
Y5 Y 0.271 0.095 0.729
Y6 Y 0.426 0.711 0.574
Ho2 Ho 0.863 0.481 0.137
Y7 Y 0.574 0.289 0.426
Y8 Y 0.354 0.795 0.147



Stability ranking, top entry: model i; the second entry is 312 meV per atom less favorable.



Model i:
# Tb3Y7Ho2 | Alexandria | PBE | optimized geometry
# * SG: P2/m
# * M_tot: 0.00 μB per atom
# * calculated density: 5.74 g cm⁻³
data_Tb3Y7Ho2
_chemical_formula_sum 'Tb3 Y7 Ho2'
_space_group_name_H-M_alt 'P 1'
_space_group_IT_number 1
_space_group_name_Hall 'P 1'
_cell_length_a 5.561
_cell_length_b 6.191
_cell_length_c 12.009
_cell_angle_alpha 92.08
_cell_angle_beta 90.00
_cell_angle_gamma 90.00
loop_
_atom_site_label
_atom_site_type_symbol
_atom_site_fract_x
_atom_site_fract_y
_atom_site_fract_z
Y1 Y 0.000 0.442 0.180
Y2 Y 0.500 0.764 0.549
Tb1 Tb 0.000 0.051 0.664
Tb2 Tb 0.000 0.949 0.336
Tb3 Tb 0.500 0.500 0.000
Y3 Y 0.000 0.000 0.000
Y4 Y 0.000 0.558 0.820
Y5 Y 0.500 0.088 0.166
Y6 Y 0.500 0.236 0.451
Ho1 Ho 0.500 0.615 0.279
Ho2 Ho 0.500 0.385 0.721
Y7 Y 0.500 0.912 0.834



Model ii:
# Tb3Y7Ho2 | Alexandria | PBE | optimized geometry
# * SG: P2/m
# * M_tot: 0.00 μB per atom
# * calculated density: 6.13 g cm⁻³
data_Tb3Y7Ho2
_chemical_formula_sum 'Tb3 Y7 Ho2'
_space_group_name_H-M_alt 'P 1'
_space_group_IT_number 1
_space_group_name_Hall 'P 1'
_cell_length_a 3.572
_cell_length_b 5.807
_cell_length_c 19.249
_cell_angle_alpha 104.18
_cell_angle_beta 90.00
_cell_angle_gamma 90.00
loop_
_atom_site_label
_atom_site_type_symbol
_atom_site_fract_x
_atom_site_fract_y
_atom_site_fract_z
Tb1 Tb 0.000 0.149 0.367
Y1 Y 0.500 0.279 0.537
Y2 Y 0.000 0.000 0.000
Y3 Y 0.000 0.461 0.144
Y4 Y 0.500 0.721 0.463
Y5 Y 0.000 0.539 0.856
Ho1 Ho 0.500 0.411 0.705
Y6 Y 0.500 0.993 0.180
Ho2 Ho 0.500 0.589 0.295
Tb2 Tb 0.500 0.500 0.000
Y7 Y 0.500 0.007 0.820
Tb3 Tb 0.000 0.851 0.633



Stability ranking, top entry: model ii; the second entry is 222 meV per atom less favorable.



Model i:
# Tb4YHo7 | Alexandria | PBE | optimized geometry
# * SG: C2/m
# * M_tot: 0.03 μB per atom
# * calculated density: 7.96 g cm⁻³
data_Tb4YHo7
_chemical_formula_sum 'Tb4 Y1 Ho7'
_space_group_name_H-M_alt 'P 1'
_space_group_IT_number 1
_space_group_name_Hall 'P 1'
_cell_length_a 5.850
_cell_length_b 11.510
_cell_length_c 6.692
_cell_angle_alpha 83.53
_cell_angle_beta 64.08
_cell_angle_gamma 75.28
loop_
_atom_site_label
_atom_site_type_symbol
_atom_site_fract_x
_atom_site_fract_y
_atom_site_fract_z
Ho1 Ho 0.787 0.923 0.502
Ho2 Ho 0.213 0.077 0.498
Y1 Y 0.000 0.000 0.000
Tb1 Tb 0.756 0.681 0.808
Tb2 Tb 0.636 0.224 0.503
Ho3 Ho 0.061 0.677 0.201
Tb3 Tb 0.364 0.776 0.497
Ho4 Ho 0.500 0.000 0.000
Ho5 Ho 0.634 0.499 0.233
Ho6 Ho 0.939 0.323 0.799
Ho7 Ho 0.366 0.501 0.767
Tb4 Tb 0.244 0.319 0.192



Model ii:
# Tb4YHo7 | Alexandria | PBE | optimized geometry
# * SG: P-1
# * M_tot: 0.00 μB per atom
# * calculated density: 8.19 g cm⁻³
data_Tb4YHo7
_chemical_formula_sum 'Tb4 Y1 Ho7'
_space_group_name_H-M_alt 'P 1'
_space_group_IT_number 1
_space_group_name_Hall 'P 1'
_cell_length_a 6.773
_cell_length_b 6.483
_cell_length_c 11.663
_cell_angle_alpha 75.17
_cell_angle_beta 50.39
_cell_angle_gamma 81.94
loop_
_atom_site_label
_atom_site_type_symbol
_atom_site_fract_x
_atom_site_fract_y
_atom_site_fract_z
Ho1 Ho 0.803 0.515 0.948
Ho2 Ho 0.197 0.485 0.052
Ho3 Ho 0.281 0.810 0.613
Tb1 Tb 0.307 0.160 0.310
Tb2 Tb 0.693 0.840 0.690
Ho4 Ho 0.060 0.316 0.641
Tb3 Tb 0.522 0.638 0.285
Ho5 Ho 0.940 0.684 0.359
Ho6 Ho 0.500 0.000 0.000
Ho7 Ho 0.719 0.190 0.387
Y1 Y 0.000 0.000 0.000
Tb4 Tb 0.478 0.362 0.715



Stability ranking, top entry: model ii; the second entry is 200 meV per atom less favorable.



Model i:
# Tb3YHo4 | Alexandria | PBE | optimized geometry
# * SG: Pmn2_1
# * M_tot: 0.00 μB per atom
# * calculated density: 7.95 g cm⁻³
data_Tb3YHo4
_chemical_formula_sum 'Tb6 Y2 Ho8'
_space_group_name_H-M_alt 'P 1'
_space_group_IT_number 1
_space_group_name_Hall 'P 1'
_cell_length_a 6.275
_cell_length_b 7.259
_cell_length_c 11.233
_cell_angle_alpha 90.00
_cell_angle_beta 90.00
_cell_angle_gamma 90.00
loop_
_atom_site_label
_atom_site_type_symbol
_atom_site_fract_x
_atom_site_fract_y
_atom_site_fract_z
Ho1 Ho 0.148 0.876 0.500
Ho2 Ho 0.980 0.124 0.750
Tb1 Tb 0.982 0.626 0.750
Ho3 Ho 0.648 0.124 0.500
Tb2 Tb 0.482 0.374 0.250
Tb3 Tb 0.482 0.374 0.750
Ho4 Ho 0.148 0.876 0.000
Tb4 Tb 0.648 0.626 0.000
Tb5 Tb 0.148 0.374 0.500
Ho5 Ho 0.480 0.876 0.250
Y1 Y 0.148 0.374 0.000
Ho6 Ho 0.648 0.124 0.000
Y2 Y 0.648 0.626 0.500
Tb6 Tb 0.982 0.626 0.250
Ho7 Ho 0.480 0.876 0.750
Ho8 Ho 0.980 0.124 0.250



Model ii:
# Tb3YHo4 | Alexandria | PBE | optimized geometry
# * SG: Immm
# * M_tot: 0.00 μB per atom
# * calculated density: 7.85 g cm⁻³
data_Tb3YHo4
_chemical_formula_sum 'Tb3 Y1 Ho4'
_space_group_name_H-M_alt 'P 1'
_space_group_IT_number 1
_space_group_name_Hall 'P 1'
_cell_length_a 3.480
_cell_length_b 6.637
_cell_length_c 15.096
_cell_angle_alpha 131.24
_cell_angle_beta 96.62
_cell_angle_gamma 90.00
loop_
_atom_site_label
_atom_site_type_symbol
_atom_site_fract_x
_atom_site_fract_y
_atom_site_fract_z
Tb1 Tb 0.239 0.218 0.478
Ho1 Ho 0.375 0.369 0.750
Y1 Y 0.500 0.000 0.000
Tb2 Tb 0.761 0.782 0.522
Ho2 Ho 0.625 0.631 0.250
Ho3 Ho 0.625 0.119 0.250
Tb3 Tb 0.000 0.500 0.000
Ho4 Ho 0.375 0.881 0.750



Stability ranking, top entry: model i; the second entry is 165 meV per atom less favorable.



Model i:
# Tb6Y3Ho | Alexandria | PBE | optimized geometry
# * SG: Cmc2_1
# * M_tot: 0.00 μB per atom
# * calculated density: 7.06 g cm⁻³
data_Tb6Y3Ho
_chemical_formula_sum 'Tb12 Y6 Ho2'
_space_group_name_H-M_alt 'P 1'
_space_group_IT_number 1
_space_group_name_Hall 'P 1'
_cell_length_a 6.171
_cell_length_b 11.027
_cell_length_c 11.027
_cell_angle_alpha 119.79
_cell_angle_beta 90.00
_cell_angle_gamma 90.00
loop_
_atom_site_label
_atom_site_type_symbol
_atom_site_fract_x
_atom_site_fract_y
_atom_site_fract_z
Y1 Y 0.960 0.721 0.940
Y2 Y 0.960 0.060 0.279
Tb1 Tb 0.034 0.381 0.289
Tb2 Tb 0.863 0.956 0.534
Tb3 Tb 0.863 0.466 0.044
Ho1 Ho 0.138 0.206 0.794
Y3 Y 0.569 0.611 0.389
Y4 Y 0.460 0.940 0.721
Tb4 Tb 0.363 0.534 0.956
Tb5 Tb 0.363 0.044 0.466
Ho2 Ho 0.638 0.794 0.206
Tb6 Tb 0.139 0.719 0.281
Tb7 Tb 0.534 0.289 0.381
Tb8 Tb 0.639 0.281 0.719
Y5 Y 0.460 0.279 0.060
Tb9 Tb 0.534 0.619 0.711
Tb10 Tb 0.426 0.953 0.047
Y6 Y 0.069 0.389 0.611
Tb11 Tb 0.926 0.047 0.953
Tb12 Tb 0.034 0.711 0.619



Model ii:
# Tb6Y3Ho | Alexandria | PBE | optimized geometry
# * SG: Cmc2_1
# * M_tot: 0.00 μB per atom
# * calculated density: 7.09 g cm⁻³
data_Tb6Y3Ho
_chemical_formula_sum 'Tb12 Y6 Ho2'
_space_group_name_H-M_alt 'P 1'
_space_group_IT_number 1
_space_group_name_Hall 'P 1'
_cell_length_a 8.923
_cell_length_b 9.039
_cell_length_c 9.039
_cell_angle_alpha 117.17
_cell_angle_beta 90.00
_cell_angle_gamma 90.00
loop_
_atom_site_label
_atom_site_type_symbol
_atom_site_fract_x
_atom_site_fract_y
_atom_site_fract_z
Tb1 Tb 0.098 0.814 0.694
Y1 Y 0.925 0.027 0.324
Tb2 Tb 0.667 0.281 0.719
Y2 Y 0.413 0.550 0.450
Tb3 Tb 0.771 0.821 0.529
Tb4 Tb 0.271 0.179 0.471
Tb5 Tb 0.167 0.719 0.281
Y3 Y 0.913 0.450 0.550
Ho1 Ho 0.533 0.779 0.221
Tb6 Tb 0.771 0.471 0.179
Y4 Y 0.925 0.676 0.973
Tb7 Tb 0.271 0.529 0.821
Tb8 Tb 0.598 0.186 0.306
Tb9 Tb 0.598 0.694 0.814
Ho2 Ho 0.033 0.221 0.779
Tb10 Tb 0.784 0.053 0.947
Y5 Y 0.425 0.324 0.027
Y6 Y 0.425 0.973 0.676
Tb11 Tb 0.284 0.947 0.053
Tb12 Tb 0.098 0.306 0.186



Stability ranking, top entry: model ii; the second entry is 11 meV per atom less favorable.